[1]
The following is a SCAN calculation of a PBEsol-optimized structure of LiIn2W, from Alexandria via LeMat-Bulk.

Calculated values
VASP energy, eV/atom: -34.45
Polymorph energy (0 for the lowest one), meV per atom: 12

abc: 3.0016 3.0016 28.4573
angles: 90.00 90.00 120.00
Space group R-3m (No. 166, hexagonal axes)
Unique sites:
Li 0.0000 0.0000 0.0000 [3 per cell]
In 0.0000 0.0000 0.2503 [6 per cell]
W 0.0000 0.0000 0.5000 [3 per cell]


[2]
The following is a SCAN calculation of a PBEsol-optimized structure of LiIn2W, from Alexandria via LeMat-Bulk.

Calculated values
VASP energy, eV/atom: -34.15
Polymorph energy (0 for the lowest one), meV per atom: 307

abc: 3.039 5.056 9.205
angles: 90.00 90.00 90.00
Space group Immm (No. 71)
Unique sites:
Li 0.000 0.000 0.000 [2 per cell]
In 0.000 0.500 0.266 [4 per cell]
W 0.000 0.000 0.500 [2 per cell]


[3]
The following is a SCAN calculation of a PBEsol-optimized structure of LiIn4W, from Alexandria via LeMat-Bulk.

Calculated values
VASP energy, eV/atom: -33.60

abc: 7.951 7.951 7.951
angles: 90.00 90.00 90.00
Space group F-43m (No. 216)
Unique sites:
Li 0.000 0.000 0.000 [4 per cell]
In 0.125 0.125 0.375 [16 per cell]
W 0.250 0.250 0.750 [4 per cell]


[4]
The following is a SCAN calculation of a PBEsol-optimized structure of LiInW, from Alexandria via LeMat-Bulk.

Calculated values
VASP energy, eV/atom: -34.57

abc: 2.770 3.588 9.663
angles: 90.00 90.00 90.00
Space group Imm2 (No. 44)
Unique sites:
Li 0.000 0.000 0.000 [2 per cell]
In 0.000 0.000 0.352 [2 per cell]
W 0.000 0.000 0.665 [2 per cell]